Record 1
Crystalline SmY2InC at its relaxed geometry, computed with GGA-PBE.

POSCAR file:
```
SmY2InC
1.0
4.937 0.000 0.000
0.000 4.937 0.000
0.000 0.000 5.063
Sm Y In C
1 2 1 1
Cartesian
0.000 0.000 0.000 Sm
0.000 2.469 2.532 Y
2.469 0.000 2.532 Y
2.469 2.469 0.000 In
0.000 0.000 2.532 C
```


Record 2
Crystalline In2SnC at its relaxed geometry, computed with GGA-PBE.

POSCAR file:
```
In2SnC
1.0
-3.125 3.125 5.095
3.125 -3.125 5.095
3.125 3.125 -5.095
In Sn C
4 2 2
Cartesian
4.687 0.905 -1.274 In
0.905 1.562 1.274 In
-1.562 2.220 3.822 In
2.220 1.562 6.369 In
3.125 0.000 2.548 Sn
0.000 0.000 5.095 Sn
0.000 0.000 0.000 C
0.000 3.125 2.548 C
```


Record 3
GGA-PBE InSnC2, optimized geometry; ΔE to the lowest computed polymorph = 996 meV per atom
1.0
0.000 3.090 3.090
3.090 0.000 3.090
3.090 3.090 0.000
In Sn C
1 1 2
Cartesian
0.000 0.000 0.000 In
3.090 3.090 3.090 Sn
1.545 1.545 1.545 C
4.634 4.634 4.634 C


Final energy across the listed records, respectively: -6.404; -3.942; -4.192 eV per atom.
ΔH_f (0 K) across the listed records, respectively: -2.412; 2.936; 8.422 eV per formula unit.